(1)
## Ac4SmAu3 (PBE)

Data for crystalline Ac4SmAu3 at its relaxed geometry.

Its symmetry is Pmm2. For the total magnetization, the calculation gives 0.00 Bohr magnetons per cell. As for the energy of formation from the pure elements: -0.535 eV per atom.

Structure (POSCAR):
```
Ac4SmAu3
1.0
4.216 0.000 0.000
0.000 4.969 0.000
0.000 0.000 12.584
Ac Sm Au
4 1 3
Direct
0.000 0.000 0.000
0.000 0.500 0.261
0.500 0.000 0.468
0.500 0.500 0.799
0.000 0.000 0.695
0.000 0.500 0.547
0.500 0.000 0.213
0.500 0.500 0.059
```

***

(2)
## TcSnB2S (PBE)

Data for crystalline TcSnB2S at its relaxed geometry.

Its symmetry is P4/mmm. Its energy relative to the elements, uncorrected is 931 meV/atom. For the total magnetization, the calculation gives 0.00 Bohr magnetons per cell.

Structure (POSCAR):
```
TcSnB2S
1.0
4.023 0.000 0.000
0.000 4.023 0.000
0.000 0.000 5.534
Tc Sn B S
1 1 2 1
Direct
0.000 0.000 0.000
0.000 0.000 0.500
0.000 0.500 0.000
0.500 0.000 0.000
0.500 0.500 0.500
```

***

(3)
## Ba2PrUSe6 (PBE)

Data for crystalline Ba2PrUSe6 at its relaxed geometry.

Its symmetry is P2_1/c. Its energy relative to the elements, uncorrected is -1698 meV/atom. For the total magnetization, the calculation gives 2.00 Bohr magnetons per cell.

Structure (POSCAR):
```
Ba2PrUSe6
1.0
7.526 0.000 0.000
0.000 7.992 0.000
-7.482 0.000 10.934
Ba Pr U Se
4 2 2 12
Direct
0.225 0.077 0.250
0.225 0.423 0.750
0.775 0.577 0.250
0.775 0.923 0.750
0.500 0.000 0.000
0.500 0.500 0.500
0.000 0.000 0.500
0.000 0.500 0.000
0.131 0.208 0.947
0.131 0.292 0.447
0.246 0.689 0.950
0.246 0.811 0.450
0.339 0.024 0.741
0.339 0.476 0.241
0.661 0.524 0.759
0.661 0.976 0.259
0.754 0.189 0.550
0.754 0.311 0.050
0.869 0.708 0.553
0.869 0.792 0.053
```

***

(4)
## LiCd4Co (PBE)

Data for crystalline LiCd4Co at its relaxed geometry.

Its symmetry is F-43m. For the total magnetization, the calculation gives 1.51 Bohr magnetons per cell. As for the energy of formation from the pure elements: 0.329 eV per atom.

Structure (POSCAR):
```
LiCd4Co
1.0
0.000 3.964 3.964
3.964 0.000 3.964
3.964 3.964 0.000
Li Cd Co
1 4 1
Direct
0.000 0.000 0.000
0.126 0.625 0.625
0.625 0.126 0.625
0.625 0.625 0.126
0.625 0.625 0.625
0.250 0.250 0.250
```

***

(5)
## Rb2Pu2RhS6 (PBE)

Data for crystalline Rb2Pu2RhS6 at its relaxed geometry.

Its symmetry is C2/m. Its energy relative to the elements, uncorrected is -1214 meV/atom. For the total magnetization, the calculation gives 9.00 Bohr magnetons per cell.

Structure (POSCAR):
```
Rb2Pu2RhS6
1.0
3.350 -5.676 0.000
3.350 5.676 0.000
-2.274 0.000 7.905
Rb Pu Rh S
2 2 1 6
Direct
0.171 0.829 0.000
0.829 0.171 0.000
0.332 0.668 0.500
0.668 0.332 0.500
0.000 0.000 0.500
0.065 0.372 0.682
0.243 0.243 0.320
0.372 0.065 0.682
0.628 0.935 0.318
0.757 0.757 0.680
0.935 0.628 0.318
```

***

(6)
## RbMgGe2P (PBE)

Data for crystalline RbMgGe2P at its relaxed geometry.

Its symmetry is P4/mmm. For the total magnetization, the calculation gives 0.00 Bohr magnetons per cell. As for the energy of formation from the pure elements: 0.343 eV per atom.

Structure (POSCAR):
```
RbMgGe2P
1.0
5.157 0.000 0.000
0.000 5.157 0.000
0.000 0.000 5.042
Rb Mg Ge P
1 1 2 1
Direct
0.000 0.000 0.000
0.500 0.500 0.000
0.000 0.500 0.500
0.500 0.000 0.500
0.500 0.500 0.500
```

***

(7)
## TlI (PBE)

Data for crystalline TlI at its relaxed geometry.

Its symmetry is P6_3/m. Its energy relative to the elements, uncorrected is -599 meV/atom. For the total magnetization, the calculation gives 0.00 Bohr magnetons per cell. The energy relative to the lowest polymorph listed for this composition is 0.066 eV/atom.

Structure (POSCAR):
```
TlI
1.0
13.967 0.000 0.000
-6.984 12.096 0.000
0.000 0.000 4.634
Tl I
6 6
Direct
0.140 0.484 0.250
0.344 0.860 0.250
0.484 0.344 0.750
0.516 0.656 0.250
0.656 0.140 0.750
0.860 0.516 0.750
0.144 0.670 0.750
0.330 0.474 0.750
0.474 0.144 0.250
0.526 0.856 0.750
0.670 0.526 0.250
0.856 0.330 0.250
```

***

(8)
## BaInAu (PBE)

Data for crystalline BaInAu at its relaxed geometry.

Its symmetry is F-43m. For the total magnetization, the calculation gives 0.00 Bohr magnetons per cell. As for the energy of formation from the pure elements: -0.424 eV per atom.

Structure (POSCAR):
```
BaInAu
1.0
0.000 3.730 3.730
3.730 0.000 3.730
3.730 3.730 0.000
Ba In Au
1 1 1
Direct
0.000 0.000 0.000
0.500 0.500 0.500
0.750 0.750 0.750
```

***

(9)
## MnCrAuBr2 (PBE)

Data for crystalline MnCrAuBr2 at its relaxed geometry.

Its symmetry is P4/mmm. Its energy relative to the elements, uncorrected is 777 meV/atom. For the total magnetization, the calculation gives 4.46 Bohr magnetons per cell.

Structure (POSCAR):
```
MnCrAuBr2
1.0
4.671 0.000 0.000
0.000 4.671 0.000
0.000 0.000 5.094
Mn Cr Au Br
1 1 1 2
Direct
0.000 0.000 0.000
0.000 0.000 0.500
0.500 0.500 0.500
0.000 0.500 0.000
0.500 0.000 0.000
```

***

(10)
## RePb2Cl (PBE)

Data for crystalline RePb2Cl at its relaxed geometry.

Its symmetry is C2/m. Its energy relative to the elements, uncorrected is 488 meV/atom. For the total magnetization, the calculation gives 0.00 Bohr magnetons per cell. The energy relative to the lowest polymorph listed for this composition is 0.042 eV/atom.

Structure (POSCAR):
```
RePb2Cl
1.0
3.001 -1.706 0.000
3.001 1.706 0.000
-1.675 0.000 9.053
Re Pb Cl
1 2 1
Direct
0.000 0.000 0.000
0.264 0.264 0.767
0.736 0.736 0.233
0.500 0.500 0.500
```

***

(11)
## Te3MoWS (PBE)

Data for crystalline Te3MoWS at its relaxed geometry.

Its symmetry is P3m1. Its energy relative to the elements, uncorrected is -270 meV/atom. For the total magnetization, the calculation gives 0.00 Bohr magnetons per cell. The energy relative to the lowest polymorph listed for this composition is 0.033 eV/atom.

Structure (POSCAR):
```
Te3MoWS
1.0
3.459 0.000 0.000
-1.730 2.996 0.000
0.000 0.000 35.520
Te Mo W S
6 2 2 2
Direct
0.000 0.000 0.000
0.000 0.000 0.104
0.000 0.000 0.570
0.000 0.000 0.675
0.333 0.667 0.784
0.333 0.667 0.889
0.000 0.000 0.424
0.333 0.667 0.052
0.000 0.000 0.836
0.333 0.667 0.623
0.333 0.667 0.382
0.333 0.667 0.466
```

***

(12)
## KBeCr2 (PBE)

Data for crystalline KBeCr2 at its relaxed geometry.

Its symmetry is Immm. For the total magnetization, the calculation gives 0.81 Bohr magnetons per cell. As for the energy of formation from the pure elements: 1.242 eV per atom.

Structure (POSCAR):
```
KBeCr2
1.0
-1.210 2.448 5.205
1.210 -2.448 5.205
1.210 2.448 -5.205
K Be Cr
1 1 2
Direct
0.000 0.000 0.000
0.500 0.500 0.000
0.293 0.793 0.500
0.707 0.207 0.500
```

***

(13)
## AcDyCuPd (PBE)

Data for crystalline AcDyCuPd at its relaxed geometry.

Its symmetry is F-43m. For the total magnetization, the calculation gives 0.00 Bohr magnetons per cell. As for the energy of formation from the pure elements: -0.423 eV per atom.

Structure (POSCAR):
```
AcDyCuPd
1.0
0.000 3.664 3.664
3.664 0.000 3.664
3.664 3.664 0.000
Ac Dy Cu Pd
1 1 1 1
Direct
0.000 0.000 0.000
0.500 0.500 0.500
0.750 0.750 0.750
0.250 0.250 0.250
```

***

Sequential E output: -35.26, -27.20, -115.60, -10.71, -76.07, -15.49, -30.69, -9.21, -21.53, -19.76, -77.92, -19.10, -19.69 eV for the cell shown
Sequential Fermi-level density of states output: 7.7, 4.3, 0.4, 8.8, 14.6, 3.5, 0.0, 4.0, 5.3, 3.5, 1.1, 4.8, 3.2 states/eV/f.u.